1.
# Mn2Ga2Si

Mn2Ga2Si at its PBEsol-relaxed geometry (meta-GGA SCAN, Alexandria via LeMat-Bulk).

Lattice parameters (Å, degrees): 3.3846 3.3846 12.3487 90.00 90.00 90.00
With the nearest neighbours (Å) after each atom.
Space group I4/mmm (No. 139)
Symmetry-distinct sites (fractional):
Mn 0.0000 0.5000 0.2500 (multiplicity 4)  4 Mn 2.39, 4 Ga 2.49
Ga 0.0000 0.0000 0.1024 (multiplicity 4)  4 Mn 2.49, 1 Ga 2.53, 4 Si 2.71
Si 0.0000 0.0000 0.5000 (multiplicity 2)  8 Ga 2.71

Computed properties:
D(E_F): 8.15 states/eV per cell
Energy relative to the elements, uncorrected: 457 meV per atom


2.
# Sm2MnGa6

Sm2MnGa6 at its PBEsol-relaxed geometry (meta-GGA SCAN, Alexandria via LeMat-Bulk).

Lattice parameters (Å, degrees): 8.6789 8.6789 8.6789 90.00 90.00 90.00
With the nearest neighbours (Å) after each atom.
Space group Fm-3m (No. 225)
Symmetry-distinct sites (fractional):
Sm 0.2500 0.2500 0.2500 (multiplicity 8)  12 Ga 3.08
Mn 0.0000 0.0000 0.0000 (multiplicity 4)  6 Ga 2.44
Ga 0.0000 0.0000 0.2807 (multiplicity 24)  1 Mn 2.44, 4 Ga 2.69

Computed properties:
D(E_F): 7.26 states/eV per cell


3.
# MnGa2Sn2

MnGa2Sn2 at its PBEsol-relaxed geometry (meta-GGA SCAN, Alexandria via LeMat-Bulk).

Lattice parameters (Å, degrees): 5.1066 5.1066 5.6527 90.00 90.00 90.00
With the nearest neighbours (Å) after each atom.
Space group P4/mmm (No. 123)
Symmetry-distinct sites (fractional):
Mn 0.0000 0.0000 0.0000 (multiplicity 1)  4 Sn 3.61, 8 Ga 3.81
Ga 0.0000 0.5000 0.5000 (multiplicity 2)  2 Sn 2.55
Sn 0.5000 0.5000 0.0000 (multiplicity 1)  2 Sn 2.83
Sn 0.5000 0.5000 0.5000 (multiplicity 1)  4 Ga 2.55, 2 Sn 2.83

Computed properties:
D(E_F): 2.93 states/eV per cell


Summary of electronic total energy in hartree per atom
-0.56546, -0.86298, -0.87179
(order as listed above)